K2In2Cl after structural relaxation, computed with PBE.

Output
Calculated volume   43.60 Å³/atom
Total energy   -1.9665 eV per atom
Total magnetic moment   0.00 μB per atom
Space group   No. 139
Uncorrected formation energy   -0.31 eV/f.u.
Relative energy among the computed polymorphs   0.6629 eV per atom
Fermi-level density of states   6.2 states/eV/cell

Lattice parameters (Å, degrees): 5.304 5.304 8.609 72.06 72.06 90.00
Sites, in units of the cell vectors:
K 0.750 0.250 0.500
In 0.589 0.589 0.822
Cl 0.000 0.000 0.000
K 0.250 0.750 0.500
In 0.411 0.411 0.178